1.
La2CeSmN4 | Alexandria via LeMat-Bulk | GGA-PBE | relaxed; crystal system = monoclinic; total magnetic moment = 0.00 μB/f.u.; total DFT energy (no corrections) = -8.141 eV per atom; space group = P2/m
1.0
-0.4981 -2.3219 -2.7770
3.4045 -4.3535 3.0295
-6.1097 -0.6218 1.6158
N Ce Sm La
4 1 1 2
Direct
0.5000 0.7620 0.7693
0.5000 0.2380 0.2307
0.0000 0.7528 0.2348
0.0000 0.2472 0.7652
0.0000 0.0000 0.0000
0.5000 0.5000 0.0000
0.0000 0.5000 0.5000
0.5000 0.0000 0.5000

2.
La3CeSm2N6 | Alexandria via LeMat-Bulk | GGA-PBE | relaxed; crystal system = monoclinic; total magnetic moment = 0.00 μB/f.u.; total DFT energy (no corrections) = -8.091 eV per atom; space group = C2/m
1.0
6.3228 0.0004 0.0000
-3.1595 5.4768 0.0000
-1.0551 -1.8270 6.0011
Ce Sm N La
1 2 6 3
Direct
0.0000 0.0000 0.0000
0.3334 0.6666 0.0000
0.6666 0.3334 0.0000
0.0783 0.4014 0.2353
0.7555 0.7555 0.2369
0.5986 0.9217 0.7647
0.4014 0.0783 0.2353
0.9217 0.5986 0.7647
0.2445 0.2445 0.7631
0.5000 0.5000 0.5000
0.1668 0.8332 0.5000
0.8332 0.1668 0.5000

3.
LaCe3Sm2N6 | Alexandria via LeMat-Bulk | GGA-PBE | relaxed; crystal system = monoclinic; total magnetic moment = 0.07 μB/f.u.; total DFT energy (no corrections) = -8.319 eV per atom; space group = C2/m
1.0
-4.1431 -1.6799 4.3503
4.9843 -3.5838 -1.1074
2.7592 4.7310 2.9641
N Ce Sm La
6 3 2 1
Direct
0.2535 0.2535 0.7364
0.7465 0.7465 0.2636
0.5705 0.9117 0.7354
0.0883 0.4295 0.2646
0.9117 0.5705 0.7354
0.4295 0.0883 0.2646
0.8327 0.1673 0.5000
0.5000 0.5000 0.5000
0.1673 0.8327 0.5000
0.3334 0.6666 0.0000
0.6666 0.3334 0.0000
0.0000 0.0000 0.0000

| no. | density of states at the Fermi level (states/eV per cell) |
| --- | --- |
| 1 | 3.13 |
| 2 | 3.33 |
| 3 | 7.80 |